# PBE InSb2RhBr, optimized geometry
# uncorrected energy = -2.93 eV per atom
# total moment = 0.118 μB per atom
# space-group type = P4/mmm (123)
# raw formation energy = 1.073 eV per atom
data_InSb2RhBr
_symmetry_space_group_name_H-M 'P 1'
_symmetry_Int_Tables_number 1
_cell_length_a 5.566
_cell_length_b 5.276
_cell_length_c 5.566
_cell_angle_alpha 90.00
_cell_angle_beta 90.00
_cell_angle_gamma 90.00
loop_
_symmetry_equiv_pos_as_xyz
'x,y,z'
loop_
_atom_site_label
_atom_site_fract_x
_atom_site_fract_y
_atom_site_fract_z
In1 0.000 0.000 0.000
Rh1 0.500 0.500 0.500
Sb1 0.000 0.000 0.500
Sb2 0.500 0.000 0.000
Br1 0.000 0.500 0.000